Here is crystalline CsV3Ag at its relaxed geometry from Alexandria. Energies are from PBE.

Structure (CIF):
```
data_CsV3Ag
_chemical_formula_sum 'Cs1 V3 Ag1'
_cell_length_a 4.7575
_cell_length_b 4.7575
_cell_length_c 4.7575
_cell_angle_alpha 90.00
_cell_angle_beta 90.00
_cell_angle_gamma 90.00
_symmetry_space_group_name_H-M 'P m -3 m'
_symmetry_Int_Tables_number 221
_symmetry_space_group_name_Hall '-P 4 2 3'
loop_
_atom_site_label
_atom_site_fract_x
_atom_site_fract_y
_atom_site_fract_z
Cs1 0.0000 0.0000 0.0000
V1 0.0000 0.0000 0.5000
Ag1 0.5000 0.5000 0.5000
```

Properties
* E_form: 2547 meV per atom
* size of the total moment: 0.4 Bohr magnetons per cell
* E above lowest polymorph: 818 meV per atom

Here is crystalline Cs3LiCr2Cl9 at its relaxed geometry from Alexandria. Energies are from PBE.

Structure (CIF):
```
data_Cs3LiCr2Cl9
_chemical_formula_sum 'Cs3 Li1 Cr2 Cl9'
_cell_length_a 7.1969
_cell_length_b 7.1969
_cell_length_c 8.8419
_cell_angle_alpha 90.00
_cell_angle_beta 90.00
_cell_angle_gamma 120.00
_symmetry_space_group_name_H-M 'P -3 m 1'
_symmetry_Int_Tables_number 164
_symmetry_space_group_name_Hall '-P 3 2"'
loop_
_atom_site_label
_atom_site_fract_x
_atom_site_fract_y
_atom_site_fract_z
Cs1 0.0000 0.0000 0.0000
Cs2 0.3333 0.6667 0.6609
Li1 0.0000 0.0000 0.5000
Cr1 0.3333 0.6667 0.1677
Cl1 0.0000 0.5000 0.0000
Cl2 0.1742 0.3484 0.3197
```

Properties
* formation energy (no corrections): -1.534 eV per atom
* size of the total moment: 7.0 Bohr magnetons per cell

The lowest size of the total moment belongs to which entry?
CsV3Ag

Which value of size of the total moment does entry 1 give?
0.4 Bohr magnetons per cell

The lowest size of the total moment belongs to which entry?
CsV3Ag